Computed, not measured: Th2Bi3 after structural relaxation at the PBE level of DFT.

Lattice parameters (Å, degrees): 4.410 4.410 11.197 78.64 78.64 60.00
Atoms (fractional coordinates):
Th: 0.397 0.397 0.809
Th: 0.603 0.603 0.191
Bi: 0.000 0.000 0.000
Bi: 0.792 0.792 0.625
Bi: 0.208 0.208 0.375

Summary:
Total DFT energy (no corrections) in eV per atom: -5.51


Computed, not measured: Th5Bi2 after structural relaxation at the PBE level of DFT.

Lattice parameters (Å, degrees): 6.109 9.065 8.633 94.48 110.72 90.00
Atoms (fractional coordinates):
Th: 0.307 0.459 0.266
Th: 0.040 0.041 0.734
Th: 0.141 0.689 0.567
Th: 0.574 0.811 0.433
Th: 0.859 0.311 0.433
Th: 0.426 0.189 0.567
Th: 0.960 0.959 0.266
Th: 0.693 0.541 0.734
Th: 0.773 0.250 0.000
Th: 0.227 0.750 0.000
Bi: 0.223 0.398 0.835
Bi: 0.388 0.102 0.165
Bi: 0.777 0.602 0.165
Bi: 0.612 0.898 0.835

Summary:
Total DFT energy (no corrections) in eV per atom: -6.62


Computed, not measured: ThBi3 after structural relaxation at the PBE level of DFT.

Lattice parameters (Å, degrees): 4.740 4.589 12.288 100.76 90.00 90.00
Atoms (fractional coordinates):
Th: 0.250 0.571 0.141
Th: 0.750 0.429 0.859
Bi: 0.250 0.177 0.355
Bi: 0.750 0.823 0.645
Bi: 0.750 0.053 0.106
Bi: 0.250 0.947 0.894
Bi: 0.750 0.676 0.352
Bi: 0.250 0.324 0.648

Summary:
Total DFT energy (no corrections) in eV per atom: -5.08


Computed, not measured: Th5Bi4 after structural relaxation at the PBE level of DFT.

Lattice parameters (Å, degrees): 4.136 8.912 8.912 69.48 76.57 76.57
Atoms (fractional coordinates):
Th: 0.000 0.007 0.993
Th: 0.000 0.326 0.674
Th: 0.000 0.667 0.333
Th: 0.281 0.386 0.052
Th: 0.719 0.948 0.614
Bi: 0.355 0.629 0.662
Bi: 0.355 0.995 0.295
Bi: 0.645 0.705 0.005
Bi: 0.645 0.338 0.371

Summary:
Total DFT energy (no corrections) in eV per atom: -6.23


Computed, not measured: ThBi4 after structural relaxation at the PBE level of DFT.

Lattice parameters (Å, degrees): 6.123 6.123 6.123 90.00 90.00 90.00
Atoms (fractional coordinates):
Bi: 0.000 0.000 0.000
Bi: 0.500 0.000 0.500
Bi: 0.000 0.500 0.500
Bi: 0.500 0.500 0.000
Th: 0.500 0.500 0.500

Summary:
Total DFT energy (no corrections) in eV per atom: -3.96


Computed, not measured: ThBi5 after structural relaxation at the PBE level of DFT.

Lattice parameters (Å, degrees): 4.922 4.549 8.815 104.95 90.00 90.00
Atoms (fractional coordinates):
Bi: 0.500 0.841 0.682
Bi: 0.000 0.657 0.313
Bi: 0.500 0.500 0.000
Bi: 0.000 0.343 0.687
Bi: 0.500 0.159 0.318
Th: 0.000 0.000 0.000

Summary:
Total DFT energy (no corrections) in eV per atom: -4.67